1.
A relaxed structure of K2TaIn. Source: Alexandria, functional PBE.

a = 3.1085 Å, b = 4.4971 Å, c = 10.5171 Å
α = 90.00°, β = 90.00°, γ = 90.00°
Atoms (fractional coordinates):
In 0.5000 0.5000 0.6734
K 0.0000 0.0000 0.9266
K 0.5000 0.5000 0.3189
Ta 0.0000 0.0000 0.5811

Calculated values
space group	No. 25


2.
A relaxed structure of K2TaIn. Source: Alexandria, functional PBE.

a = 6.9022 Å, b = 6.9022 Å, c = 3.0551 Å
α = 90.00°, β = 90.00°, γ = 126.65°
Last column: magnetic moment on the atom in μB.
Atoms (fractional coordinates):
In 0.0000 0.5000 0.5000  -0.01
K 0.0000 0.0000 0.0000  0.03
K 0.5000 0.5000 0.0000  0.03
Ta 0.5000 0.0000 0.5000  0.77

Calculated values
space group	No. 65


3.
A relaxed structure of K2TaIn. Source: Alexandria, functional PBE.

a = 7.7051 Å, b = 7.7051 Å, c = 7.7051 Å
α = 157.45°, β = 129.01°, γ = 56.43°
Last column: magnetic moment on the atom in μB.
Atoms (fractional coordinates):
In 0.2804 0.7804 0.5000  0.00
K 0.0295 0.0295 0.0000  0.03
K 0.7282 0.2282 0.5000  0.01
Ta 0.4619 0.4619 0.0000  0.76

Calculated values
space group	No. 44


4.
A relaxed structure of K2TaIn. Source: Alexandria, functional PBE.

a = 12.9391 Å, b = 12.9391 Å, c = 12.9391 Å
α = 14.20°, β = 14.20°, γ = 14.20°
Last column: magnetic moment on the atom in μB.
Atoms (fractional coordinates):
In 0.7500 0.7500 0.7500  0.10
K 0.9996 0.9996 0.9996  0.01
K 0.5004 0.5004 0.5004  0.01
Ta 0.2500 0.2500 0.2500  0.19

Calculated values
space group	No. 166


5.
A relaxed structure of K2TaIn. Source: Alexandria, functional PBE.

a = 10.6979 Å, b = 10.6979 Å, c = 10.6979 Å
α = 161.98°, β = 154.91°, γ = 31.06°
Last column: magnetic moment on the atom in μB.
Atoms (fractional coordinates):
In 0.2500 0.7500 0.5000  0.00
K 0.0984 0.0984 0.0000  0.01
K 0.4016 0.4016 0.0000  0.01
Ta 0.7500 0.2500 0.5000  1.06

Calculated values
space group	No. 71


6.
A relaxed structure of K2TaIn. Source: Alexandria, functional PBE.

a = 5.5253 Å, b = 5.5253 Å, c = 5.5253 Å
α = 119.97°, β = 119.97°, γ = 90.06°
Last column: magnetic moment on the atom in μB.
Atoms (fractional coordinates):
In 0.7500 0.2500 0.5000  -0.10
K 0.0000 0.0000 0.0000  0.01
K 0.2500 0.7500 0.5000  0.03
Ta 0.5000 0.5000 0.0000  1.62

Calculated values
space group	No. 119


Raw total energy values (in eV/atom) by entry order: -3.526 -3.227 -3.299 -3.304 -3.479 -3.048.
Density values (in g cm⁻³) by entry order: 4.224 5.318 4.577 5.474 3.869 5.204.
E_form values (in meV per atom) by entry order: 670.2 969.4 897.1 893.0 717.8 1148.2.